No. 1
DFT (GGA-PBE) results for an optimized crystal structure of BaHfRe2.

Results
- Calculated density: 14.37 g/cm³
- Final energy: -32.20 eV/f.u.

a b c (Å): 4.827 4.827 4.827
angles (deg): 60.00 60.00 60.00
Fractional positions:
Re: 0.000 0.000 0.000
Re: 0.250 0.250 0.250
Hf: 0.500 0.500 0.500
Ba: 0.750 0.750 0.750

=====

No. 2
DFT (GGA-PBE) results for an optimized crystal structure of Tb2AsICl.

Results
- Calculated density: 5.91 g/cm³
- Final energy: -25.71 eV/f.u.

a b c (Å): 4.115 4.115 10.632
angles (deg): 90.00 90.00 120.00
Fractional positions:
Tb: 0.667 0.333 0.157
As: 0.000 0.000 0.009
I: 0.667 0.333 0.667
Cl: 0.333 0.667 0.306
Tb: 0.333 0.667 0.860

=====

No. 3
DFT (GGA-PBE) results for an optimized crystal structure of BeTlCuIr.

Results
- Calculated density: 13.60 g/cm³
- Final energy: -17.28 eV/f.u.
- Excess energy over the best structure of this formula in the dataset: 0.000 eV/atom

a b c (Å): 4.327 4.327 4.327
angles (deg): 60.00 60.00 60.00
Fractional positions:
Tl: 0.000 0.000 0.000
Be: 0.250 0.250 0.250
Ir: 0.500 0.500 0.500
Cu: 0.750 0.750 0.750

=====

No. 4
DFT (GGA-PBE) results for an optimized crystal structure of Np3Al.

Results
- Calculated density: 16.83 g/cm³
- Final energy: -41.28 eV/f.u.
- Excess energy over the best structure of this formula in the dataset: 0.047 eV/atom

a b c (Å): 4.687 4.687 4.687
angles (deg): 60.00 60.00 60.00
Last column: magnetic moment on the atom in μB.
Fractional positions:
Al: 0.750 0.750 0.750  0.00
Np: 0.250 0.250 0.250  -0.99
Np: 0.000 0.000 0.000  2.10
Np: 0.500 0.500 0.500  2.10